Computed, not measured: a relaxed CaDyF5 crystal at the GGA-PBE level of DFT.

Values from the calculation:
Raw formation energy, meV/atom: -3963

a = 4.952 Å, b = 4.952 Å, c = 7.661 Å
α = 92.09°, β = 92.09°, γ = 86.51°
Atoms (fractional coordinates):
Ca (0.000, 0.000, 0.000)
Ca (0.000, 0.000, 0.500)
Dy (0.487, 0.513, 0.750)
Dy (0.513, 0.487, 0.250)
F (0.062, 0.629, 0.823)
F (0.180, 0.820, 0.250)
F (0.265, 0.402, 0.495)
F (0.371, 0.938, 0.677)
F (0.402, 0.265, 0.995)
F (0.598, 0.735, 0.005)
F (0.629, 0.062, 0.323)
F (0.735, 0.598, 0.505)
F (0.820, 0.180, 0.750)
F (0.938, 0.371, 0.177)